Entry 1:
VASP calculation (PBE-GGA) on crystalline La2MnOs at its relaxed geometry.

Output
The magnetization comes out at 13.6 μB/cell. Its relative energy among the computed polymorphs is 229.0 meV per atom. As for the formation energy: 0.22 eV per atom.

Cell lengths 7.253, 7.253, 7.253 Å; angles 90.00, 90.00, 90.00 degrees
Element x y z (fractional)
La: 0.250 0.250 0.250
La: 0.250 0.250 0.750
La: 0.250 0.750 0.250
La: 0.250 0.750 0.750
La: 0.750 0.250 0.250
La: 0.750 0.250 0.750
La: 0.750 0.750 0.250
La: 0.750 0.750 0.750
Mn: 0.000 0.000 0.000
Mn: 0.000 0.500 0.500
Mn: 0.500 0.000 0.500
Mn: 0.500 0.500 0.000
Os: 0.000 0.000 0.500
Os: 0.000 0.500 0.000
Os: 0.500 0.000 0.000
Os: 0.500 0.500 0.500

---

Entry 2:
VASP calculation (PBE-GGA) on crystalline Nd4Sm3 at its relaxed geometry.

Output
The magnetization comes out at 0.0 μB/cell. Its relative energy among the computed polymorphs is 0.0 meV per atom. As for the formation energy: 0.01 eV per atom.

Cell lengths 11.571, 5.175, 8.190 Å; angles 90.00, 98.09, 90.00 degrees
Element x y z (fractional)
Nd: 0.071 0.000 0.216
Nd: 0.143 0.500 0.928
Nd: 0.357 0.000 0.072
Nd: 0.429 0.500 0.784
Nd: 0.571 0.500 0.216
Nd: 0.643 0.000 0.928
Nd: 0.857 0.500 0.072
Nd: 0.929 0.000 0.784
Sm: 0.000 0.500 0.500
Sm: 0.215 0.000 0.642
Sm: 0.285 0.500 0.358
Sm: 0.500 0.000 0.500
Sm: 0.715 0.500 0.642
Sm: 0.785 0.000 0.358

---

Entry 3:
VASP calculation (PBE-GGA) on crystalline DyPtAu4 at its relaxed geometry.

Output
The magnetization comes out at 0.0 μB/cell. As for the formation energy: -0.40 eV per atom.

Cell lengths 5.483, 5.483, 5.483 Å; angles 60.00, 60.00, 60.00 degrees
Element x y z (fractional)
Dy: 0.000 0.000 0.000
Pt: 0.750 0.750 0.750
Au: 0.375 0.375 0.375
Au: 0.375 0.375 0.874
Au: 0.375 0.874 0.375
Au: 0.874 0.375 0.375

---

Entry 4:
VASP calculation (PBE-GGA) on crystalline FeSi3P at its relaxed geometry.

Output
The magnetization comes out at 2.8 μB/cell. Its relative energy among the computed polymorphs is 676.2 meV per atom.

Cell lengths 4.455, 4.455, 4.455 Å; angles 90.00, 90.00, 90.00 degrees
Element x y z (fractional)
Fe: 0.000 0.000 0.000
Si: 0.000 0.500 0.500
Si: 0.500 0.000 0.500
Si: 0.500 0.500 0.000
P: 0.500 0.500 0.500

---

Entry 5:
VASP calculation (PBE-GGA) on crystalline CaTbMgAg at its relaxed geometry.

Output
The magnetization comes out at 0.0 μB/cell. Its relative energy among the computed polymorphs is 0.0 meV per atom. As for the formation energy: -0.19 eV per atom.

Cell lengths 3.747, 3.747, 7.686 Å; angles 90.00, 90.00, 90.00 degrees
Element x y z (fractional)
Ca: 0.000 0.000 0.000
Tb: 0.000 0.000 0.464
Mg: 0.500 0.500 0.720
Ag: 0.500 0.500 0.252

---

Entry 6:
VASP calculation (PBE-GGA) on crystalline AlSiBr2 at its relaxed geometry.

Output
The magnetization comes out at 0.0 μB/cell. Its relative energy among the computed polymorphs is 651.8 meV per atom.

Cell lengths 4.840, 4.840, 18.001 Å; angles 90.00, 90.00, 90.00 degrees
Element x y z (fractional)
Al: 0.000 0.000 0.000
Al: 0.000 0.500 0.250
Al: 0.500 0.000 0.750
Al: 0.500 0.500 0.500
Si: 0.000 0.000 0.500
Si: 0.000 0.500 0.750
Si: 0.500 0.000 0.250
Si: 0.500 0.500 0.000
Br: 0.244 0.250 0.625
Br: 0.250 0.744 0.875
Br: 0.250 0.756 0.375
Br: 0.256 0.250 0.125
Br: 0.744 0.750 0.125
Br: 0.750 0.244 0.375
Br: 0.750 0.256 0.875
Br: 0.756 0.750 0.625

---

| no. | DOS(E_F) (states/eV per atom) | calculated density (g/cm³) |
| --- | --- | --- |
| 1 | 0.80 | 9.1 |
| 2 | 1.51 | 7.0 |
| 3 | 0.57 | 16.3 |
| 4 | 0.92 | 3.2 |
| 5 | 0.91 | 5.1 |
| 6 | 0.49 | 3.4 |